Record 1
Compound: LiPm3Tl4
Source: the Alexandria database
Functional: PBE-GGA
Structure: optimized geometry

Cell lengths 3.6480, 9.3777, 8.5187 Å; angles 123.40, 102.36, 90.00 degrees
Closest atoms and distances in Å follow each position.
Sites, in units of the cell vectors:
Pm (0.2221, 0.2221, 0.4443)  6 Tl 3.19-3.29, 2 Li 3.56
Pm (0.7779, 0.7779, 0.5557)  6 Tl 3.19-3.29, 2 Li 3.56
Pm (0.0000, 0.5000, 0.0000)  8 Tl 3.39, 2 Pm 3.65
Tl (0.6196, 0.8688, 0.2392)  1 Li 2.87, 1 Pm 3.19
Tl (0.3804, 0.6296, 0.7608)  1 Li 2.87, 1 Pm 3.19
Tl (0.6196, 0.3704, 0.2392)  1 Li 2.87, 1 Pm 3.19
Tl (0.3804, 0.1312, 0.7608)  1 Li 2.87, 1 Pm 3.19
Li (0.5000, 0.0000, 0.0000)  4 Tl 2.87

Record 2
Compound: Li4Pm3Tl2
Source: the Alexandria database
Functional: PBE-GGA
Structure: optimized geometry

Cell lengths 5.0396, 5.0403, 9.3847 Å; angles 90.01, 90.00, 120.00 degrees
Closest atoms and distances in Å follow each position.
Sites, in units of the cell vectors:
Li (0.3333, 0.6665, 0.9120)  4 Tl 2.86-3.15, 4 Pm 2.94-3.02
Li (0.9999, 0.9998, 0.3320)  4 Pm 2.98-3.12, 3 Tl 3.10-3.11, 1 Li 3.15
Li (0.6667, 0.3335, 0.0880)  4 Tl 2.86-3.15, 4 Pm 2.94-3.02
Li (0.0001, 0.0002, 0.6680)  4 Pm 2.98-3.12, 3 Tl 3.10-3.11, 1 Li 3.15
Pm (0.3334, 0.6668, 0.5987)  4 Li 2.94-2.98
Pm (0.0000, 0.0000, 0.0000)  8 Li 3.02-3.12
Pm (0.6666, 0.3332, 0.4013)  4 Li 2.94-2.98
Tl (0.3333, 0.6666, 0.2167)  7 Li 2.86-3.15
Tl (0.6667, 0.3334, 0.7833)  7 Li 2.86-3.15

Record 3
Compound: Li2Pm3Tl4
Source: the Alexandria database
Functional: PBE-GGA
Structure: optimized geometry

Cell lengths 4.9882, 6.1206, 9.5138 Å; angles 114.97, 90.00, 114.05 degrees
Closest atoms and distances in Å follow each position.
Sites, in units of the cell vectors:
Pm (0.6618, 0.3237, 0.6597)  7 Tl 3.31-3.45, 4 Li 3.33-3.40, 2 Pm 3.49-3.67
Pm (0.0000, 0.0000, 0.0000)  8 Tl 3.34-3.46, 4 Li 3.48, 2 Pm 3.67
Pm (0.3382, 0.6763, 0.3403)  7 Tl 3.31-3.45, 4 Li 3.33-3.40, 2 Pm 3.49-3.67
Tl (0.2701, 0.5403, 0.9169)  1 Li 2.78, 2 Tl 3.09
Tl (0.9439, 0.8878, 0.6231)  2 Li 2.81, 1 Tl 3.13
Tl (0.7299, 0.4597, 0.0831)  1 Li 2.78, 2 Tl 3.09
Tl (0.0561, 0.1122, 0.3769)  2 Li 2.81, 1 Tl 3.13
Li (0.3850, 0.7699, 0.7128)  3 Tl 2.78-2.81
Li (0.6150, 0.2301, 0.2872)  3 Tl 2.78-2.81

Record 4
Compound: Li2PmTl3
Source: the Alexandria database
Functional: PBE-GGA
Structure: optimized geometry

Cell lengths 4.9776, 4.9776, 13.7297 Å; angles 90.00, 90.00, 120.00 degrees
Closest atoms and distances in Å follow each position.
Sites, in units of the cell vectors:
Li (0.3333, 0.6667, 0.9067)  7 Tl 2.92-3.15
Li (0.3333, 0.6667, 0.5933)  7 Tl 2.92-3.15
Li (0.6667, 0.3333, 0.4067)  7 Tl 2.92-3.15
Li (0.6667, 0.3333, 0.0933)  7 Tl 2.92-3.15
Tl (0.6667, 0.3333, 0.6329)  4 Li 2.92-3.11, 1 Tl 3.22
Tl (0.3333, 0.6667, 0.3671)  4 Li 2.92-3.11, 1 Tl 3.22
Tl (0.0000, 0.0000, 0.0000)  6 Li 3.15, 6 Tl 3.40, 2 Pm 3.43
Tl (0.3333, 0.6667, 0.1329)  4 Li 2.92-3.11, 1 Tl 3.22
Tl (0.0000, 0.0000, 0.5000)  6 Li 3.15, 6 Tl 3.40, 2 Pm 3.43
Tl (0.6667, 0.3333, 0.8671)  4 Li 2.92-3.11, 1 Tl 3.22
Pm (0.0000, 0.0000, 0.7500)  8 Tl 3.29-3.43, 6 Li 3.59
Pm (0.0000, 0.0000, 0.2500)  8 Tl 3.29-3.43, 6 Li 3.59

Record 5
Compound: Li2PmTl3
Source: the Alexandria database
Functional: PBE-GGA
Structure: optimized geometry

Cell lengths 5.0805, 5.0805, 13.0801 Å; angles 90.00, 90.00, 120.00 degrees
Closest atoms and distances in Å follow each position.
Sites, in units of the cell vectors:
Tl (0.0000, 0.0000, 0.2245)  4 Li 2.94-3.04, 3 Pm 3.23
Tl (0.6667, 0.3333, 0.0729)  7 Li 3.08-3.16, 1 Pm 3.34
Tl (0.3333, 0.6667, 0.9271)  7 Li 3.08-3.16, 1 Pm 3.34
Tl (0.3333, 0.6667, 0.4226)  4 Li 3.10-3.40, 4 Pm 3.18-3.25
Tl (0.0000, 0.0000, 0.7755)  4 Li 2.94-3.04, 3 Pm 3.23
Tl (0.6667, 0.3333, 0.5774)  4 Li 3.10-3.40, 4 Pm 3.18-3.25
Li (0.6667, 0.3333, 0.8374)  8 Tl 3.04-3.40
Li (0.0000, 0.0000, 0.5000)  6 Tl 3.10
Li (0.0000, 0.0000, 0.0000)  8 Tl 2.94-3.08
Li (0.3333, 0.6667, 0.1626)  8 Tl 3.04-3.40
Pm (0.6667, 0.3333, 0.3286)  8 Tl 3.18-3.34
Pm (0.3333, 0.6667, 0.6714)  8 Tl 3.18-3.34

Record 6
Compound: LiPmTl2
Source: the Alexandria database
Functional: PBE-GGA
Structure: optimized geometry

Cell lengths 3.6648, 3.6648, 9.4749 Å; angles 78.85, 78.85, 60.00 degrees
Closest atoms and distances in Å follow each position.
Sites, in units of the cell vectors:
Tl (0.2391, 0.2391, 0.2828)  3 Li 2.92
Tl (0.0946, 0.0946, 0.7163)  3 Li 2.91
Li (0.4998, 0.4998, 0.5006)  6 Tl 2.91-2.92
Pm (0.6666, 0.6666, 0.0003)  6 Tl 3.36-3.37, 6 Pm 3.66

Record 7
Compound: Li4PmTl5
Source: the Alexandria database
Functional: PBE-GGA
Structure: optimized geometry

Cell lengths 3.5777, 3.5777, 17.7496 Å; angles 90.00, 90.00, 90.00 degrees
Closest atoms and distances in Å follow each position.
Sites, in units of the cell vectors:
Tl (0.5000, 0.5000, 0.8760)  4 Li 3.00, 1 Tl 3.28, 4 Pm 3.35
Tl (0.5000, 0.5000, 0.6910)  8 Li 3.03-3.04, 1 Tl 3.28
Tl (0.5000, 0.5000, 0.3090)  8 Li 3.03-3.04, 1 Tl 3.28
Tl (0.5000, 0.5000, 0.5000)  8 Li 3.05, 2 Tl 3.39
Tl (0.5000, 0.5000, 0.1240)  4 Li 3.00, 1 Tl 3.28, 4 Pm 3.35
Li (0.0000, 0.0000, 0.4037)  8 Tl 3.04-3.05, 1 Li 3.34
Li (0.0000, 0.0000, 0.7847)  8 Tl 3.00-3.03, 1 Li 3.34
Li (0.0000, 0.0000, 0.5963)  8 Tl 3.04-3.05, 1 Li 3.34
Li (0.0000, 0.0000, 0.2153)  8 Tl 3.00-3.03, 1 Li 3.34
Pm (0.0000, 0.0000, 0.0000)  8 Tl 3.35, 4 Pm 3.58

Record 8
Compound: LiPm2Tl
Source: the Alexandria database
Functional: PBE-GGA
Structure: optimized geometry

Cell lengths 4.3893, 5.0259, 5.0259 Å; angles 90.00, 90.00, 90.00 degrees
Closest atoms and distances in Å follow each position.
Sites, in units of the cell vectors:
Pm (0.0000, 0.0000, 0.5000)  4 Tl 3.34, 4 Li 3.34, 4 Pm 3.55
Pm (0.0000, 0.5000, 0.0000)  4 Tl 3.34, 4 Li 3.34, 4 Pm 3.55
Tl (0.5000, 0.5000, 0.5000)  8 Pm 3.34, 4 Li 3.55
Li (0.5000, 0.0000, 0.0000)  8 Pm 3.34, 4 Tl 3.55

Record 9
Compound: Li2PmTl
Source: the Alexandria database
Functional: PBE-GGA
Structure: optimized geometry

Cell lengths 3.7062, 3.7062, 6.9036 Å; angles 90.00, 90.00, 90.00 degrees
Closest atoms and distances in Å follow each position.
Sites, in units of the cell vectors:
Tl (0.5000, 0.5000, 0.0000)  8 Li 2.97
Pm (0.5000, 0.5000, 0.5000)  8 Li 3.33, 2 Tl 3.45, 4 Pm 3.71
Li (0.0000, 0.0000, 0.7965)  1 Li 2.81, 4 Tl 2.97
Li (0.0000, 0.0000, 0.2035)  1 Li 2.81, 4 Tl 2.97

Record 10
Compound: LiPmTl2
Source: the Alexandria database
Functional: PBE-GGA
Structure: optimized geometry

Cell lengths 5.2624, 5.2624, 5.2624 Å; angles 60.00, 60.00, 60.00 degrees
Closest atoms and distances in Å follow each position.
Sites, in units of the cell vectors:
Tl (0.0000, 0.0000, 0.0000)  4 Li 3.22, 4 Pm 3.22
Tl (0.5000, 0.5000, 0.5000)  4 Pm 3.22, 4 Li 3.22
Li (0.7500, 0.7500, 0.7500)  8 Tl 3.22
Pm (0.2500, 0.2500, 0.2500)  8 Tl 3.22

Record 11
Compound: LiPm8Tl2
Source: the Alexandria database
Functional: PBE-GGA
Structure: optimized geometry

Cell lengths 5.3801, 7.0916, 9.5528 Å; angles 98.17, 106.36, 90.00 degrees
Closest atoms and distances in Å follow each position.
Sites, in units of the cell vectors:
Pm (0.0275, 0.7481, 0.0550)  1 Tl 3.27, 2 Li 3.31, 3 Pm 3.51-3.62
Pm (0.9725, 0.2519, 0.9450)  1 Tl 3.27, 2 Li 3.31, 3 Pm 3.51-3.62
Pm (0.5919, 0.4496, 0.1839)  1 Li 3.38, 8 Pm 3.51-3.72, 2 Tl 3.77
Pm (0.3422, 0.0559, 0.6844)  1 Li 2.98, 3 Tl 3.16-3.27
Pm (0.8146, 0.7240, 0.6292)  3 Tl 3.18-3.37, 5 Pm 3.47-3.56
Pm (0.1854, 0.2760, 0.3708)  3 Tl 3.18-3.37, 5 Pm 3.47-3.56
Pm (0.6578, 0.9441, 0.3156)  1 Li 2.98, 3 Tl 3.16-3.27
Pm (0.4081, 0.5504, 0.8161)  1 Li 3.38, 8 Pm 3.51-3.72, 2 Tl 3.77
Li (0.5000, 0.0000, 0.0000)  6 Pm 2.98-3.31
Tl (0.2045, 0.7292, 0.4089)  7 Pm 3.16-3.37
Tl (0.7955, 0.2708, 0.5911)  7 Pm 3.16-3.37

Number 1: DOS(E_F) 5.57 states/eV/f.u., DFT total energy -3.429 eV per atom, spin magnetization 0.000 μB/f.u.. Number 2: DOS(E_F) 4.72 states/eV/f.u., DFT total energy -3.118 eV per atom, spin magnetization 0.000 μB/f.u.. Number 3: DOS(E_F) 3.77 states/eV/f.u., DFT total energy -3.390 eV per atom, spin magnetization 0.000 μB/f.u.. Number 4: DOS(E_F) 2.90 states/eV/f.u., DFT total energy -2.854 eV per atom, spin magnetization 0.000 μB/f.u.. Number 5: DOS(E_F) 3.73 states/eV/f.u., DFT total energy -2.900 eV per atom, spin magnetization 0.000 μB/f.u.. Number 6: DOS(E_F) 3.47 states/eV/f.u., DFT total energy -3.002 eV per atom, spin magnetization 0.001 μB/f.u.. Number 7: DOS(E_F) 4.64 states/eV/f.u., DFT total energy -2.677 eV per atom, spin magnetization 0.000 μB/f.u.. Number 8: DOS(E_F) 4.19 states/eV/f.u., DFT total energy -3.642 eV per atom, spin magnetization 0.000 μB/f.u.. Number 9: DOS(E_F) 3.01 states/eV/f.u., DFT total energy -2.813 eV per atom, spin magnetization 0.208 μB/f.u.. Number 10: DOS(E_F) 0.26 states/eV/f.u., DFT total energy -3.181 eV per atom, spin magnetization 0.000 μB/f.u.. Number 11: DOS(E_F) 10.90 states/eV/f.u., DFT total energy -4.147 eV per atom, spin magnetization 0.000 μB/f.u..